(1)
Material: URhPb2O8
Method: DFT, GGA-PBE
State: relaxed

Lattice parameters (Å, degrees): 5.158 5.135 6.601 90.00 90.00 91.42
Fractional positions:
1 U 0.000 0.000 0.000
2 Rh 0.000 0.000 0.500
3 Pb 0.500 0.500 0.738
4 Pb 0.500 0.500 0.262
5 O 0.173 0.821 0.247
6 O 0.697 0.703 0.000
7 O 0.827 0.179 0.247
8 O 0.827 0.179 0.753
9 O 0.303 0.297 0.000
10 O 0.173 0.821 0.753
11 O 0.713 0.722 0.500
12 O 0.287 0.278 0.500

Computed properties:
DFT total energy ... -84.00 eV for the cell shown
Space-group type ... P2/m, No. 10
Size of the total moment ... 0.21 Bohr magnetons per cell
Formation energy without anion corrections ... -1.523 eV per atom
ρ ... 8.4 g/cm³

(2)
Material: Cs2HfGeS4
Method: DFT, GGA-PBE
State: relaxed

Lattice parameters (Å, degrees): 6.758 8.000 12.903 83.65 74.82 65.01
Fractional positions:
1 Cs 0.179 0.000 0.642
2 Cs 0.821 0.000 0.358
3 Cs 0.571 0.500 0.858
4 Cs 0.929 0.500 0.142
5 Hf 0.750 0.500 0.500
6 Hf 0.000 0.000 0.000
7 Ge 0.250 0.500 0.500
8 Ge 0.500 0.000 0.000
9 S 0.265 0.818 0.102
10 S 0.186 0.182 0.898
11 S 0.917 0.818 0.898
12 S 0.632 0.182 0.102
13 S 0.485 0.682 0.398
14 S 0.564 0.318 0.602
15 S 0.833 0.682 0.602
16 S 0.118 0.318 0.398

Computed properties:
DFT total energy ... -83.67 eV for the cell shown
Space-group type ... Fddd, No. 70
Size of the total moment ... 0.00 Bohr magnetons per cell
Formation energy without anion corrections ... -1.131 eV per atom
ρ ... 3.5 g/cm³